This record from the Alexandria database describes MnFe3O after structural relaxation. The functional is PBE+U.

Lattice parameters (Å, degrees): 4.716 4.716 4.716 90.00 90.00 90.00
Site moments in Bohr magnetons follow the coordinates.
Fractional coordinates of all 5 atoms:
Mn: 0.000 0.000 0.000  4.13
Fe: 0.000 0.500 0.000  3.25
Fe: 0.000 0.000 0.500  3.28
Fe: 0.500 0.000 0.000  3.22
O: 0.500 0.500 0.500  -0.40

Output
ρ: 3775 kg/m³
DFT total energy: -3.952 eV per atom